(1)
SrCeHg4 | PBE | relaxed

Values from the calculation:
Mass density (g/cm3): 10.18
Crystal system: tetragonal
DOS(E_F) (states/eV/f.u.): 10.057

Unit cell a=4.037 b=4.037 c=10.308 alpha=90.02 beta=90.02 gamma=89.99
Last column: magnetic moment on the atom in μB.
Fractional positions:
Hg1 0.000 0.000 0.322  0.00
Hg2 0.000 0.000 0.678  0.00
Hg3 0.500 0.500 0.165  0.01
Hg4 0.500 0.500 0.835  0.01
Ce1 0.000 0.000 0.000  1.04
Sr1 0.500 0.500 0.500  0.00

(2)
SrCeHg4 | PBE | relaxed

Values from the calculation:
Mass density (g/cm3): 10.46
Crystal system: cubic
DOS(E_F) (states/eV/f.u.): 12.146

Unit cell a=6.138 b=6.138 c=6.138 alpha=60.00 beta=60.00 gamma=60.00
Last column: magnetic moment on the atom in μB.
Fractional positions:
Sr1 0.250 0.250 0.250  0.02
Hg1 0.625 0.124 0.625  0.01
Hg2 0.625 0.625 0.625  0.01
Hg3 0.625 0.625 0.124  0.01
Hg4 0.124 0.625 0.625  0.01
Ce1 0.000 0.000 0.000  0.99

(3)
SrCeHg6 | PBE | relaxed

Values from the calculation:
Mass density (g/cm3): 11.08
Crystal system: hexagonal
DOS(E_F) (states/eV/f.u.): 11.575

Unit cell a=5.181 b=6.915 c=6.915 alpha=120.02 beta=90.00 gamma=90.00
Last column: magnetic moment on the atom in μB.
Fractional positions:
Hg1 0.000 0.594 0.938  0.01
Hg2 0.000 0.594 0.406  0.01
Hg3 0.500 0.418 0.084  0.01
Hg4 0.500 0.916 0.084  0.01
Hg5 0.000 0.062 0.406  0.01
Hg6 0.500 0.916 0.582  0.01
Ce1 0.000 0.083 0.917  0.98
Sr1 0.500 0.417 0.583  0.00

(4)
Sr4CeHg5 | PBE | relaxed

Values from the calculation:
Mass density (g/cm3): 7.92
Crystal system: tetragonal
DOS(E_F) (states/eV/f.u.): 13.977

Unit cell a=3.960 b=3.960 c=19.965 alpha=90.00 beta=90.00 gamma=90.00
Last column: magnetic moment on the atom in μB.
Fractional positions:
Sr1 0.000 0.000 0.195  0.00
Sr2 0.000 0.000 0.398  0.00
Sr3 0.000 0.000 0.602  0.00
Sr4 0.000 0.000 0.805  0.00
Hg1 0.500 0.500 0.500  0.00
Hg2 0.500 0.500 0.090  0.00
Hg3 0.500 0.500 0.297  0.00
Hg4 0.500 0.500 0.703  0.00
Hg5 0.500 0.500 0.910  0.00
Ce1 0.000 0.000 0.000  0.91

(5)
SrCeHg | PBE | relaxed

Values from the calculation:
Mass density (g/cm3): 6.93
Crystal system: trigonal
DOS(E_F) (states/eV/f.u.): 7.728

Unit cell a=4.103 b=5.374 c=5.374 alpha=120.00 beta=90.00 gamma=90.00
Last column: magnetic moment on the atom in μB.
Fractional positions:
Ce1 0.094 0.000 0.000  0.99
Hg1 0.271 0.333 0.667  0.01
Sr1 0.635 0.667 0.333  0.01

(6)
SrCeZnHg | PBE | relaxed

Values from the calculation:
Mass density (g/cm3): 7.23
Crystal system: cubic
DOS(E_F) (states/eV/f.u.): 9.576

Unit cell a=5.433 b=5.433 c=5.433 alpha=60.00 beta=60.00 gamma=60.00
Last column: magnetic moment on the atom in μB.
Fractional positions:
Sr1 0.250 0.250 0.250  0.00
Ce1 0.750 0.750 0.750  0.83
Hg1 0.500 0.500 0.500  0.00
Zn1 0.000 0.000 0.000  0.00

(7)
Tb2CeHg5 | PBE | relaxed

Values from the calculation:
Mass density (g/cm3): 11.80
Crystal system: tetragonal
DOS(E_F) (states/eV/f.u.): 10.375

Unit cell a=5.286 b=5.286 c=8.254 alpha=108.68 beta=108.68 gamma=90.00
Last column: magnetic moment on the atom in μB.
Fractional positions:
Hg1 0.127 0.627 0.255  0.01
Hg2 0.873 0.373 0.745  0.01
Hg3 0.500 0.500 0.000  0.00
Hg4 0.373 0.873 0.745  0.01
Hg5 0.627 0.127 0.255  0.01
Ce1 0.000 0.000 0.000  0.88
Tb1 0.268 0.268 0.536  0.01
Tb2 0.732 0.732 0.464  0.01

(8)
Tb2Ce2Hg7 | PBE | relaxed

Values from the calculation:
Mass density (g/cm3): 9.62
Crystal system: orthorhombic
DOS(E_F) (states/eV/f.u.): 22.838

Unit cell a=6.903 b=7.442 c=6.903 alpha=90.00 beta=102.84 gamma=90.00
Last column: magnetic moment on the atom in μB.
Fractional positions:
Tb1 0.199 0.500 0.199  -0.02
Tb2 0.801 0.500 0.801  -0.02
Hg1 0.500 0.292 0.500  0.00
Hg2 0.500 0.702 0.000  0.01
Hg3 0.000 0.000 0.000  0.01
Hg4 0.000 0.298 0.500  0.01
Hg5 0.500 0.298 0.000  0.01
Hg6 0.000 0.702 0.500  0.01
Hg7 0.500 0.708 0.500  0.00
Ce1 0.704 0.000 0.296  0.95
Ce2 0.296 0.000 0.704  0.95

(9)
Tb2CeHg8 | PBE | relaxed

Values from the calculation:
Mass density (g/cm3): 12.34
Crystal system: monoclinic
DOS(E_F) (states/eV/f.u.): 10.919

Unit cell a=5.018 b=7.323 c=8.412 alpha=108.91 beta=107.35 gamma=90.00
Last column: magnetic moment on the atom in μB.
Fractional positions:
Hg1 0.972 0.272 0.945  0.00
Hg2 0.151 0.185 0.301  0.01
Hg3 0.403 0.537 0.805  0.00
Hg4 0.028 0.728 0.055  0.00
Hg5 0.323 0.095 0.646  0.00
Hg6 0.597 0.463 0.195  0.00
Hg7 0.849 0.815 0.699  0.01
Hg8 0.677 0.905 0.354  0.00
Ce1 0.500 0.000 0.000  0.90
Tb1 0.212 0.651 0.424  0.01
Tb2 0.788 0.349 0.576  0.01

(10)
Tb4CeHg4 | PBE | relaxed

Values from the calculation:
Mass density (g/cm3): 10.30
Crystal system: tetragonal
DOS(E_F) (states/eV/f.u.): 14.067

Unit cell a=5.592 b=9.540 c=9.540 alpha=90.00 beta=90.00 gamma=90.00
Last column: magnetic moment on the atom in μB.
Fractional positions:
Hg1 0.414 0.209 0.105  0.00
Hg2 0.086 0.709 0.605  0.00
Hg3 0.914 0.605 0.291  0.00
Hg4 0.414 0.791 0.895  0.00
Hg5 0.086 0.291 0.395  0.00
Hg6 0.586 0.895 0.209  0.00
Hg7 0.586 0.105 0.791  0.00
Hg8 0.914 0.395 0.709  0.00
Tb1 0.913 0.653 0.914  0.01
Tb2 0.087 0.086 0.653  0.01
Tb3 0.087 0.914 0.347  0.01
Tb4 0.587 0.153 0.414  0.01
Tb5 0.587 0.847 0.586  0.01
Tb6 0.913 0.347 0.086  0.01
Tb7 0.413 0.586 0.153  0.01
Tb8 0.413 0.414 0.847  0.01
Ce1 0.000 0.000 0.000  0.98
Ce2 0.500 0.500 0.500  0.98

(11)
TbCeHg2 | PBE | relaxed

Values from the calculation:
Mass density (g/cm3): 10.75
Crystal system: tetragonal
DOS(E_F) (states/eV/f.u.): 9.909

Unit cell a=3.721 b=3.721 c=7.814 alpha=90.00 beta=90.00 gamma=90.00
Last column: magnetic moment on the atom in μB.
Fractional positions:
Hg1 0.000 0.000 0.233  0.01
Hg2 0.000 0.000 0.767  0.01
Tb1 0.500 0.500 0.000  0.08
Ce1 0.500 0.500 0.500  1.06

(12)
Tb5CeHg6 | PBE | relaxed

Values from the calculation:
Mass density (g/cm3): 11.17
Crystal system: monoclinic
DOS(E_F) (states/eV/f.u.): 20.475

Unit cell a=5.290 b=7.550 c=8.387 alpha=90.00 beta=108.35 gamma=90.00
Last column: magnetic moment on the atom in μB.
Fractional positions:
Hg1 0.500 0.744 0.000  0.02
Hg2 0.169 0.745 0.340  0.01
Hg3 0.831 0.745 0.660  0.01
Hg4 0.169 0.255 0.340  0.01
Hg5 0.831 0.255 0.660  0.01
Hg6 0.500 0.256 0.000  0.02
Ce1 0.000 0.000 0.000  1.01
Tb1 0.666 0.000 0.333  0.18
Tb2 0.663 0.500 0.329  0.10
Tb3 0.000 0.500 0.000  0.16
Tb4 0.337 0.500 0.671  0.10
Tb5 0.334 0.000 0.667  0.18

Per-record uncorrected energy, eV per atom: -1.83, -1.70, -1.53, -1.90, -2.62, -2.54, -2.49, -2.13, -1.91, -3.06, -3.18, -3.02
Per-record ΔE_f, eV/atom: -0.362, -0.226, -0.355, -0.481, 0.014, -0.241, -0.400, -0.016, -0.305, -0.207, -0.386, -0.442